VASP calculation (PBE) on crystalline La2Zn3Pd5 at its relaxed geometry.

The structure belongs to space group Cmc2_1 (No. 36); the cell edges are 4.307, 25.218 and 6.991 Å and the angles 90.00°, 90.00° and 90.00°. The distinct sites, in fractional coordinates, are La at (0.000, 0.027, 0.000), La at (0.000, 0.324, 0.063), Zn at (0.000, 0.132, 0.214), Zn at (0.000, 0.284, 0.616), Zn at (0.000, 0.452, 0.190), Pd at (0.000, 0.094, 0.580), Pd at (0.000, 0.196, 0.892), Pd at (0.000, 0.230, 0.308), Pd at (0.000, 0.380, 0.467) and Pd at (0.000, 0.443, 0.811).

Its density of states at the Fermi level is 16.281 states/eV/cell. The calculation puts the energy above the most stable polymorph in this dataset at 29.7 meV per atom. The magnetic moment comes out at 0.00 μB/atom. The total energy comes out at -4.61 eV/atom. As for the energy relative to the elements: -6.46 eV/f.u.